# Ac6WO12 | the Alexandria database | GGA+U | relaxed
data_Ac6WO12
_chemical_formula_sum 'Ac18 W3 O36'
_cell_length_a 10.7059
_cell_length_b 10.7059
_cell_length_c 10.2858
_cell_angle_alpha 90.00
_cell_angle_beta 90.00
_cell_angle_gamma 120.00
_symmetry_space_group_name_H-M 'R -3'
_symmetry_Int_Tables_number 148
_symmetry_space_group_name_Hall '-R 3'
loop_
_atom_site_label
_atom_site_fract_x
_atom_site_fract_y
_atom_site_fract_z
_atom_site_occupancy
Ac1 0.0483 0.7934 0.1506 1
W1 0.0000 0.0000 0.5000 1
O1 0.0385 0.8667 0.3951 1
O2 0.0391 0.8107 0.9056 1
# - Total energy: -7.9700 eV/atom
# - Spin magnetization: 0.00 Bohr magnetons per cell